[1]
Computed, not measured: crystalline Sc2SnPt4 at its relaxed geometry at the GGA-PBE level of DFT.

a b c (Å): 4.5285 4.5285 22.2459
angles (deg): 90.00 90.00 120.00
Space group R-3m (No. 166, hexagonal axes)
Asymmetric unit:
Sc  0.0000  0.0000  0.2473
Sn  0.0000  0.0000  0.0000
Pt  0.0000  0.0000  0.1276
Pt  0.0000  0.0000  0.3857

Values from the calculation:
Energy relative to the elements = -796 meV/atom
M_tot = 0.0 μB per formula unit
Total energy = -6.628 eV per atom

---

[2]
Computed, not measured: crystalline CsNbSn2 at its relaxed geometry at the GGA-PBE level of DFT.

a b c (Å): 6.822 6.822 16.664
angles (deg): 90.00 90.00 90.00
Space group I4_1/amd (No. 141, origin choice 2)
Asymmetric unit:
Cs  0.000  0.250  0.375
Nb  0.000  0.250  0.875
Sn  0.000  0.000  0.000

Values from the calculation:
Energy relative to the elements = 394 meV/atom
M_tot = 0.0 μB per formula unit
Total energy = -4.338 eV per atom
Excess energy over the best structure of this formula in the dataset = 0.0000 eV/atom